{"formula": "TaNi2CO", "functional": "GGA+U", "state": "relaxed", "magmom_total_mub_per_cell": 0.00, "n_ef_per_ev_cell": 3.46, "spacegroup": "P4/mmm, No. 123", "total_energy_ev_per_atom": -5.45, "lattice_angstrom": [[-1.980, 2.009, -1.947], [-3.663, -2.974, 0.657], [-0.938, 1.770, 2.781]], "species": ["Ni", "Ni", "C", "O", "Ta"], "frac_coords": [[0.000, 0.000, 0.500], [0.500, 0.000, 0.000], [0.000, 0.000, 0.000], [0.000, 0.500, 0.000], [0.500, 0.500, 0.500]]}